This record from the Alexandria database describes a relaxed NaBi2Pb crystal. The functional is GGA-PBE.

* D(E_F): 0.60 states/eV per atom
* energy relative to the elements: -0.02 eV/atom

Unit cell a=8.990 b=8.990 c=6.600 alpha=90.00 beta=90.00 gamma=90.00
Space group I-42d (No. 122)
Inequivalent atoms, fractional coordinates:
Na 0.000 0.000 0.000 x4
Bi 0.234 0.250 0.625 x8
Pb 0.000 0.000 0.500 x4

---

This record from the Alexandria database describes a relaxed Co2SiRh crystal. The functional is GGA-PBE.

* formation energy from raw total energies: -293 meV/atom
* D(E_F): 0.83 states/eV per atom

Unit cell a=2.775 b=2.775 c=6.197 alpha=90.00 beta=90.00 gamma=90.00
Space group P4mm (No. 99)
Inequivalent atoms, fractional coordinates:
Co 0.000 0.000 0.000 x1
Co 0.500 0.500 0.250 x1
Si 0.500 0.500 0.787 x1
Rh 0.000 0.000 0.546 x1